Record 1
Rb3Ho3ScS8, optimized geometry, DFT PBE-GGA; total moment = 0.0 μB/cell; electronic total energy = -82.2 eV per cell
1.0
3.962 2.288 7.839
-3.962 2.288 7.839
0.000 -4.575 7.839
Rb Ho Sc S
3 3 1 8
Direct
0.000 0.500 0.500
0.500 0.000 0.500
0.500 0.500 0.000
0.000 0.000 0.500
0.000 0.500 0.000
0.500 0.000 0.000
0.500 0.500 0.500
0.231 0.231 0.231
0.239 0.722 0.722
0.278 0.278 0.761
0.278 0.761 0.278
0.722 0.239 0.722
0.722 0.722 0.239
0.761 0.278 0.278
0.769 0.769 0.769



Record 2
InCo2NiH, optimized geometry, DFT PBE-GGA; total moment = 2.0 μB/cell; electronic total energy = -25.9 eV per cell
1.0
3.750 0.000 0.000
0.000 3.750 0.000
0.000 0.000 3.817
In Co Ni H
1 2 1 1
Direct
0.000 0.000 0.000
0.000 0.500 0.500
0.500 0.000 0.500
0.500 0.500 0.000
0.500 0.500 0.500



Record 3
BaDy4ScS8, optimized geometry, DFT PBE-GGA; total moment = 0.0 μB/cell; electronic total energy = -86.7 eV per cell
1.0
4.121 2.379 6.540
-4.121 2.379 6.540
0.000 -4.759 6.540
Ba Dy Sc S
1 4 1 8
Direct
0.000 0.000 0.000
0.112 0.621 0.621
0.242 0.242 0.242
0.621 0.112 0.621
0.621 0.621 0.112
0.621 0.621 0.621
0.376 0.376 0.376
0.380 0.380 0.845
0.380 0.845 0.380
0.427 0.842 0.842
0.842 0.427 0.842
0.842 0.842 0.427
0.845 0.380 0.380
0.853 0.853 0.853



Record 4
GaBr2Cl, optimized geometry, DFT PBE-GGA; total moment = 0.0 μB/cell; energy above the most stable polymorph in this dataset = 0.0 meV per atom
1.0
5.686 0.000 0.000
0.049 10.890 0.000
0.002 0.007 14.026
Ga Br Cl
4 8 4
Direct
0.000 0.250 0.149
0.000 0.750 0.851
0.500 0.250 0.351
0.500 0.750 0.649
0.217 0.896 0.927
0.218 0.395 0.073
0.281 0.396 0.428
0.281 0.896 0.572
0.719 0.104 0.428
0.719 0.604 0.572
0.782 0.605 0.927
0.783 0.104 0.073
0.250 0.638 0.750
0.251 0.138 0.250
0.749 0.862 0.750
0.750 0.362 0.250



Record 5
InWSe, optimized geometry, DFT PBE-GGA; total moment = 1.7 μB/cell; energy above the most stable polymorph in this dataset = 779.0 meV per atom
1.0
6.424 0.000 0.000
0.000 6.424 0.000
0.000 0.000 6.424
In W Se
4 4 4
Direct
0.000 0.000 0.000
0.000 0.500 0.500
0.500 0.000 0.500
0.500 0.500 0.000
0.250 0.250 0.750
0.250 0.750 0.250
0.750 0.250 0.250
0.750 0.750 0.750
0.000 0.000 0.500
0.000 0.500 0.000
0.500 0.000 0.000
0.500 0.500 0.500



Record 6
La2NdEr2Tm, optimized geometry, DFT PBE-GGA; formation enthalpy at 0 K = 76 meV/atom; total moment = 0.0 μB/cell
1.0
5.673 0.000 0.000
0.000 10.105 0.000
0.000 0.000 7.013
La Nd Er Tm
4 2 4 2
Direct
0.000 0.016 0.000
0.000 0.984 0.500
0.500 0.193 0.262
0.500 0.807 0.762
0.000 0.323 0.687
0.000 0.677 0.187
0.000 0.360 0.193
0.000 0.640 0.693
0.500 0.146 0.757
0.500 0.854 0.257
0.500 0.484 0.946
0.500 0.516 0.446



Record 7
SrY3As, optimized geometry, DFT PBE-GGA; formation enthalpy at 0 K = 1221 meV/atom; total moment = 0.0 μB/cell; energy above the most stable polymorph in this dataset = 1573.7 meV per atom
1.0
5.551 0.000 0.000
0.000 5.551 0.000
0.000 0.000 5.551
Sr Y As
1 3 1
Direct
0.000 0.000 0.000
0.000 0.000 0.500
0.000 0.500 0.000
0.500 0.000 0.000
0.500 0.500 0.500



Record 8
LiH5Ir, optimized geometry, DFT PBE-GGA; total moment = 0.9 μB/cell; energy above the most stable polymorph in this dataset = 263.7 meV per atom
1.0
3.446 0.000 0.000
0.000 4.566 0.000
0.000 0.000 7.310
Li H Ir
2 10 2
Direct
0.000 0.000 0.000
0.500 0.500 0.500
0.000 0.000 0.272
0.000 0.000 0.728
0.000 0.376 0.500
0.000 0.500 0.000
0.000 0.624 0.500
0.500 0.000 0.500
0.500 0.124 0.000
0.500 0.500 0.228
0.500 0.500 0.772
0.500 0.876 0.000
0.000 0.000 0.500
0.500 0.500 0.000



Record order is preserved below.
DOS at the Fermi energy: 10.601 5.301 3.854 0.000 14.245 18.642 5.041 8.784 states/eV per cell